Entry from the Alexandria database: crystalline CsTlInSb at its relaxed geometry (GGA-PBE).

Output
As for the crystal system: trigonal. For the formation energy without anion corrections, the calculation gives -0.15 eV per atom. The spin magnetization is 0.00 μB/f.u.

abc: 7.986 7.986 7.986
angles: 37.19 37.19 37.19
Fractional positions:
Cs 0.000 0.000 0.000
Tl 0.548 0.548 0.548
In 0.180 0.180 0.180
Sb 0.789 0.789 0.789

---

Entry from the Alexandria database: crystalline Ce6GeIr2 at its relaxed geometry (GGA-PBE).

Output
As for the crystal system: monoclinic. The formation energy comes out at -536 meV per atom. The density of states at the Fermi level comes out at 2.2501 states/eV/atom. The spin magnetization is 2.17 μB/f.u. As for the distance to the lowest polymorph of the same formula: 0 meV per atom.

abc: 5.647 5.647 8.942
angles: 95.04 95.04 49.55
Fractional positions:
Ce 0.065 0.065 0.346
Ce 0.303 0.303 0.917
Ce 0.399 0.399 0.331
Ce 0.601 0.601 0.669
Ce 0.697 0.697 0.083
Ce 0.935 0.935 0.654
Ge 0.000 0.000 0.000
Ir 0.263 0.263 0.616
Ir 0.737 0.737 0.384

---

Entry from the Alexandria database: crystalline AgAuCl4 at its relaxed geometry (GGA-PBE).

Output
As for the crystal system: triclinic. For the formation energy without anion corrections, the calculation gives -0.36 eV per atom. The density of states at the Fermi level comes out at 0.0000 states/eV/atom. The spin magnetization is 0.00 μB/f.u.

abc: 4.366 7.034 11.999
angles: 89.79 79.64 72.37
Fractional positions:
Ag 0.228 0.255 0.249
Ag 0.772 0.745 0.751
Au 0.000 0.000 0.000
Au 0.500 0.500 0.500
Cl 0.167 0.402 0.649
Cl 0.265 0.687 0.908
Cl 0.282 0.906 0.149
Cl 0.374 0.811 0.594
Cl 0.626 0.189 0.406
Cl 0.718 0.094 0.851
Cl 0.735 0.313 0.092
Cl 0.833 0.598 0.351

---

Entry from the Alexandria database: crystalline La2SmO at its relaxed geometry (GGA-PBE).

Output
As for the crystal system: trigonal. For the formation energy without anion corrections, the calculation gives -1.26 eV per atom. The density of states at the Fermi level comes out at 1.5328 states/eV/atom. The spin magnetization is 0.00 μB/f.u.

abc: 9.467 9.467 9.467
angles: 22.80 22.80 22.80
Fractional positions:
La 0.218 0.218 0.218
La 0.782 0.782 0.782
Sm 0.000 0.000 0.000
O 0.500 0.500 0.500

---

Entry from the Alexandria database: crystalline Y2Bi4S9 at its relaxed geometry (GGA-PBE).

Output
As for the crystal system: trigonal. For the formation energy without anion corrections, the calculation gives -0.90 eV per atom. The density of states at the Fermi level comes out at 0.0000 states/eV/atom. The spin magnetization is 0.00 μB/f.u.

abc: 7.078 7.078 18.800
angles: 90.00 90.00 120.00
Fractional positions:
Y 0.000 0.000 0.150
Y 0.000 0.000 0.350
Y 0.000 0.000 0.650
Y 0.000 0.000 0.850
Bi 0.333 0.667 0.185
Bi 0.333 0.667 0.483
Bi 0.333 0.667 0.685
Bi 0.333 0.667 0.983
Bi 0.667 0.333 0.017
Bi 0.667 0.333 0.315
Bi 0.667 0.333 0.517
Bi 0.667 0.333 0.815
S 0.000 0.291 0.250
S 0.000 0.709 0.750
S 0.037 0.361 0.584
S 0.037 0.676 0.084
S 0.291 0.000 0.250
S 0.291 0.291 0.750
S 0.324 0.361 0.084
S 0.324 0.963 0.584
S 0.361 0.037 0.916
S 0.361 0.324 0.416
S 0.639 0.676 0.584
S 0.639 0.963 0.084
S 0.676 0.037 0.416
S 0.676 0.639 0.916
S 0.709 0.000 0.750
S 0.709 0.709 0.250
S 0.963 0.324 0.916
S 0.963 0.639 0.416

---

Entry from the Alexandria database: crystalline DyY2Cd at its relaxed geometry (GGA-PBE).

Output
As for the crystal system: cubic. The formation energy comes out at -20 meV per atom. The density of states at the Fermi level comes out at 1.3898 states/eV/atom. The spin magnetization is 0.27 μB/f.u. As for the distance to the lowest polymorph of the same formula: 135 meV per atom.

abc: 5.455 5.455 5.455
angles: 60.00 60.00 60.00
Fractional positions:
Dy 0.000 0.000 0.000
Y 0.250 0.250 0.250
Y 0.750 0.750 0.750
Cd 0.500 0.500 0.500